# 1
6
Lattice="3.586 0.001 -0.004 -1.778 5.820 -7.149 -0.023 -4.429 14.706" Properties=species:S:1:pos:R:3 comment="LaHo4Th PBE-GGA relaxed" formation_enthalpy_0k_ev_per_atom=0.03 crystal_system=triclinic polymorph_energy_mev_per_atom=0 pbc="T T T"
La 0.004 3.605 0.202
Ho 1.793 1.618 2.558
Ho -0.008 -0.227 4.996
Ho 0.013 3.932 -4.763
Ho 1.772 -2.539 12.314
Th 3.585 0.002 -0.004


# 2
4
Lattice="6.402 0.014 -0.077 3.481 5.373 0.077 -4.275 -3.917 2.717" Properties=species:S:1:pos:R:3 comment="TlAg2Sb PBE-GGA relaxed" formation_energy_uncorrected_mev_per_atom=141 crystal_system=orthorhombic pbc="T T T"
Sb 4.680 2.551 0.000
Tl 3.547 -0.597 1.320
Ag 0.277 0.151 0.000
Ag 2.046 2.060 1.397


# 3
13
Lattice="4.895 -0.135 -0.208 -0.227 5.134 2.357 -0.230 -0.049 5.649" Properties=species:S:1:pos:R:3 comment="Li3Zn2F8 PBE-GGA relaxed" formation_energy_uncorrected_mev_per_atom=-2400 crystal_system=monoclinic pbc="T T T"
Li 2.448 -0.067 -0.104
Li -0.228 3.856 3.169
Li -0.229 1.229 4.837
Zn 2.230 3.597 5.665
Zn 2.208 1.353 2.132
F 3.705 2.000 3.151
F 0.734 2.951 4.646
F 3.537 4.405 6.938
F 0.901 0.546 0.860
F 2.981 1.755 5.925
F 2.983 4.615 4.109
F 1.456 0.336 3.689
F 1.457 3.195 1.872


# 4
10
Lattice="-1.353 0.625 -3.479 -0.952 -8.632 -1.176 -7.909 2.465 5.574" Properties=species:S:1:pos:R:3 comment="PmNd3Al PBE-GGA relaxed" formation_enthalpy_0k_ev_per_atom=-0.11 crystal_system=triclinic polymorph_energy_mev_per_atom=0 pbc="T T T"
Pm -8.262 2.119 2.057
Pm -2.370 -0.641 1.341
Nd -5.532 -6.464 -0.537
Nd -6.054 -0.691 2.759
Nd -1.658 -3.022 -1.429
Nd -6.682 -4.406 2.335
Nd -2.017 -6.598 -1.923
Nd -4.902 -2.749 -0.113
Al -2.950 -5.115 0.761
Al -8.635 -2.041 1.461


# 5
5
Lattice="5.114 0.000 0.000 0.000 4.972 0.000 0.000 0.000 5.114" Properties=species:S:1:pos:R:3 comment="ScZnBiPt2 PBE-GGA relaxed" formation_enthalpy_0k_ev_per_atom=0.62 crystal_system=tetragonal pbc="T T T"
Sc 2.557 2.486 2.557
Zn 0.000 2.486 0.000
Bi 0.000 0.000 0.000
Pt 0.000 0.000 2.557
Pt 2.557 0.000 0.000


# 6
10
Lattice="-3.741 -0.489 -2.541 2.592 -0.768 -3.656 0.667 -12.952 6.901" Properties=species:S:1:pos:R:3 comment="Bi2Te2Rh PBE-GGA relaxed" formation_energy_uncorrected_mev_per_atom=-153 crystal_system=triclinic polymorph_energy_mev_per_atom=0 pbc="T T T"
Bi -1.707 -12.062 2.226
Bi -0.562 -5.652 -1.543
Bi -0.026 -8.554 2.208
Bi -1.838 -2.011 -0.924
Te -0.604 -9.059 -0.907
Te 1.336 -2.025 -1.502
Te 1.463 -12.325 1.685
Te 0.006 -5.149 1.575
Rh -0.509 -0.630 -3.083
Rh -1.891 -7.033 0.615


# 7
3
Lattice="5.906 0.049 0.003 4.625 3.673 0.003 -5.265 -1.861 1.919" Properties=species:S:1:pos:R:3 comment="NiPtRh PBE-GGA relaxed" formation_enthalpy_0k_ev_per_atom=-0.02 crystal_system=tetragonal polymorph_energy_mev_per_atom=11 pbc="T T T"
Ni 0.032 0.011 0.000
Rh 1.667 0.589 1.922
Pt 3.568 1.261 0.003


# 8
6
Lattice="-7.916 -0.567 -0.907 6.796 -4.147 0.650 -0.318 -0.078 2.824" Properties=species:S:1:pos:R:3 comment="CaOs2 PBE-GGA relaxed" formation_enthalpy_0k_ev_per_atom=0.53 crystal_system=orthorhombic pbc="T T T"
Ca -6.698 -0.980 1.365
Ca 5.261 -3.812 1.202
Os -1.900 -2.147 1.873
Os 0.462 -2.644 0.694
Os 2.470 -3.211 2.336
Os -3.908 -1.581 0.232


no.,E_tot (eV/cell)
1,-30.5
2,-11.6
3,-54.5
4,-46.7
5,-20.5
6,-44.3
7,-19.2
8,-45.7